(1)
# ScAuCl2

ScAuCl2 after structural relaxation (GGA-PBE, the Alexandria database).

Calculated values
* formation energy (no corrections): -1.21 eV per atom
* E_tot: -18.13 eV/f.u.
* distance to the lowest polymorph of the same formula: 117 meV per atom

Lattice parameters (Å, degrees): 13.8852 3.2865 5.1351 90.00 111.42 90.00
Space group C2/m (No. 12)
Unique sites:
Sc1 0.0000 0.0000 0.0000
Au1 0.0000 0.5000 0.5000
Cl1 0.1456 0.5000 0.1436



(2)
# ScAu4Cl

ScAu4Cl after structural relaxation (GGA-PBE, the Alexandria database).

Calculated values
* formation energy (no corrections): -0.25 eV per atom
* E_tot: -22.76 eV/f.u.

Lattice parameters (Å, degrees): 7.8520 7.8520 7.8520 90.00 90.00 90.00
Space group F-43m (No. 216)
Unique sites:
Sc1 0.0000 0.0000 0.0000
Au1 0.1249 0.1249 0.6249
Cl1 0.2500 0.2500 0.2500



(3)
# ScAu3Cl

ScAu3Cl after structural relaxation (GGA-PBE, the Alexandria database).

Calculated values
* formation energy (no corrections): 0.49 eV per atom
* E_tot: -15.57 eV/f.u.
* distance to the lowest polymorph of the same formula: 0 meV per atom

Lattice parameters (Å, degrees): 5.2207 5.2207 5.2207 90.00 90.00 90.00
Space group Pm-3m (No. 221)
Unique sites:
Sc1 0.0000 0.0000 0.0000
Au1 0.0000 0.0000 0.5000
Cl1 0.5000 0.5000 0.5000



(4)
# Sc2Au2Cl

Sc2Au2Cl after structural relaxation (GGA-PBE, the Alexandria database).

Calculated values
* formation energy (no corrections): -0.86 eV per atom
* E_tot: -25.34 eV/f.u.

Lattice parameters (Å, degrees): 7.1938 7.1938 4.0512 90.00 90.00 90.00
Space group P4/mbm (No. 127)
Unique sites:
Sc1 0.1664 0.3336 0.0000
Au1 0.1365 0.6365 0.5000
Cl1 0.0000 0.0000 0.0000



(5)
# Sc4AuCl

Sc4AuCl after structural relaxation (GGA-PBE, the Alexandria database).

Calculated values
* formation energy (no corrections): 0.23 eV per atom
* E_tot: -29.08 eV/f.u.

Lattice parameters (Å, degrees): 8.2598 8.2598 8.2598 90.00 90.00 90.00
Space group F-43m (No. 216)
Unique sites:
Sc1 0.1234 0.1234 0.1234
Au1 0.2500 0.2500 0.7500
Cl1 0.0000 0.0000 0.5000



(6)
# ScAuCl2

ScAuCl2 after structural relaxation (GGA-PBE, the Alexandria database).

Calculated values
* formation energy (no corrections): -1.08 eV per atom
* E_tot: -17.63 eV/f.u.
* distance to the lowest polymorph of the same formula: 242 meV per atom

Lattice parameters (Å, degrees): 8.9148 8.9148 5.5105 90.00 90.00 90.00
Space group I-42d (No. 122)
Unique sites:
Sc1 0.0000 0.0000 0.0000
Au1 0.0000 0.0000 0.5000
Cl1 0.1059 0.7500 0.1250



(7)
# ScAuCl2

ScAuCl2 after structural relaxation (GGA-PBE, the Alexandria database).

Calculated values
* formation energy (no corrections): -1.21 eV per atom
* E_tot: -18.14 eV/f.u.
* distance to the lowest polymorph of the same formula: 113 meV per atom

Lattice parameters (Å, degrees): 5.5260 12.5421 3.5478 90.00 90.00 90.00
Space group Cmmm (No. 65)
Unique sites:
Sc1 0.0000 0.0000 0.0000
Au1 0.0000 0.5000 0.0000
Cl1 0.0000 0.1386 0.5000



(8)
# ScAuCl2

ScAuCl2 after structural relaxation (GGA-PBE, the Alexandria database).

Calculated values
* formation energy (no corrections): -0.60 eV per atom
* E_tot: -15.69 eV/f.u.
* distance to the lowest polymorph of the same formula: 726 meV per atom

Lattice parameters (Å, degrees): 3.5712 4.1605 5.3789 90.00 90.00 90.00
Space group Pmmm (No. 47)
Unique sites:
Sc1 0.0000 0.0000 0.0000
Au1 0.5000 0.0000 0.5000
Cl1 0.0000 0.5000 0.5000
Cl2 0.5000 0.5000 0.0000